TaTl2Ir3O12 PBE optimized geometry; formation energy without anion corrections = -1.069 eV/atom
1.0
-3.775 6.271 0.114
-3.221 2.367 6.133
2.521 5.869 3.576
Tl Ir O Ta
2 3 12 1
Cartesian
-1.647 5.338 3.614
-2.829 9.170 6.209
-1.611 1.183 3.066
-1.887 3.136 0.057
1.260 2.935 1.788
-3.371 6.027 6.831
-4.589 6.354 4.544
-5.671 9.935 6.966
0.114 8.153 5.279
-1.883 9.693 9.049
-2.216 12.042 5.428
1.196 4.573 2.857
-2.260 2.465 4.395
-3.707 8.397 3.177
-1.104 8.480 2.992
-2.592 4.815 0.774
-0.768 6.110 6.646
0.000 0.000 0.000

CrFe2Ru PBE optimized geometry; formation energy = 0.15 eV per atom
1.0
3.997 0.000 0.000
0.000 2.559 0.015
0.000 1.053 4.833
Fe Ru Cr
2 1 1
Cartesian
1.998 0.810 1.139
0.000 2.557 0.044
0.000 1.829 2.454
1.998 2.781 3.651

Dy2CuAuO5 PBE optimized geometry; formation energy without anion corrections = -1.831 eV/atom
1.0
3.436 0.000 0.000
-1.718 6.345 0.000
0.000 0.000 11.250
O Dy Au Cu
10 4 2 2
Cartesian
1.718 3.237 1.944
1.718 0.718 3.132
1.718 1.824 9.223
0.000 5.035 0.590
0.000 4.520 3.598
0.000 5.627 8.756
1.718 1.309 6.215
0.000 3.108 7.569
0.000 1.241 0.802
1.718 5.103 6.426
1.718 5.430 2.168
0.000 0.915 7.792
0.000 2.353 2.978
1.718 3.992 8.603
1.718 0.328 10.610
0.000 6.016 4.985
0.000 3.137 0.324
1.718 3.207 5.949

Ti12VAs6 PBE optimized geometry; formation energy = -0.48 eV per atom
1.0
-4.526 6.129 -0.269
-4.255 -6.325 0.001
4.244 0.229 6.329
Ti As V
12 6 1
Cartesian
-2.486 -5.354 1.956
-0.334 -1.111 2.529
-2.608 -0.512 0.823
0.664 -3.372 6.187
-1.049 1.651 1.979
-6.774 -1.956 0.610
-4.204 1.143 3.532
-3.489 -1.618 4.082
-2.052 5.387 4.105
2.236 1.989 5.451
-1.930 0.544 5.238
-5.202 3.405 -0.126
-2.377 -2.806 2.041
-1.035 -1.979 4.889
-2.161 2.839 4.020
-3.503 2.012 1.172
0.403 0.834 4.103
-4.941 -0.801 1.958
0.000 0.000 0.000